[1]
Below is an optimized crystal structure of Nd2SbBr, with properties calculated at the PBE-GGA level.

Values from the calculation:
Crystal system: cubic
Space group: Fm-3m (225)
Energy relative to the lowest polymorph listed for this composition in meV/atom: 27
Energy relative to the elements, uncorrected in eV/atom: -1.119
E_tot in eV per atom: -4.952

CIF file:
```
data_Nd2SbBr
_symmetry_space_group_name_H-M 'P 1'
_symmetry_Int_Tables_number 1
_cell_length_a 5.4123
_cell_length_b 5.4123
_cell_length_c 5.4123
_cell_angle_alpha 60.00
_cell_angle_beta 60.00
_cell_angle_gamma 60.00
loop_
_symmetry_equiv_pos_as_xyz
'x,y,z'
loop_
_atom_site_label
_atom_site_fract_x
_atom_site_fract_y
_atom_site_fract_z
Nd1 0.2500 0.2500 0.2500
Nd2 0.7500 0.7500 0.7500
Sb1 0.0000 0.0000 0.0000
Br1 0.5000 0.5000 0.5000
```

[2]
Below is an optimized crystal structure of Nd2SbBr, with properties calculated at the PBE-GGA level.

Values from the calculation:
Crystal system: orthorhombic
Space group: Pmm2 (25)
Energy relative to the lowest polymorph listed for this composition in meV/atom: 11
Energy relative to the elements, uncorrected in eV/atom: -1.135
E_tot in eV per atom: -4.968

CIF file:
```
data_Nd2SbBr
_symmetry_space_group_name_H-M 'P 1'
_symmetry_Int_Tables_number 1
_cell_length_a 4.4007
_cell_length_b 4.4426
_cell_length_c 6.2272
_cell_angle_alpha 90.00
_cell_angle_beta 90.00
_cell_angle_gamma 90.00
loop_
_symmetry_equiv_pos_as_xyz
'x,y,z'
loop_
_atom_site_label
_atom_site_fract_x
_atom_site_fract_y
_atom_site_fract_z
Nd1 0.0000 0.0000 0.0000
Nd2 0.5000 0.5000 0.4991
Sb1 0.0000 0.0000 0.5000
Br1 0.5000 0.5000 0.9993
```

[3]
Below is an optimized crystal structure of Nd2SbBr2, with properties calculated at the PBE-GGA level.

Values from the calculation:
Crystal system: trigonal
Space group: R-3m (166)
Energy relative to the elements, uncorrected in eV/atom: -1.531
E_tot in eV per atom: -4.931

CIF file:
```
data_Nd2SbBr2
_symmetry_space_group_name_H-M 'P 1'
_symmetry_Int_Tables_number 1
_cell_length_a 11.1453
_cell_length_b 11.1453
_cell_length_c 11.1453
_cell_angle_alpha 22.70
_cell_angle_beta 22.70
_cell_angle_gamma 22.70
loop_
_symmetry_equiv_pos_as_xyz
'x,y,z'
loop_
_atom_site_label
_atom_site_fract_x
_atom_site_fract_y
_atom_site_fract_z
Nd1 0.1113 0.1113 0.1113
Nd2 0.8887 0.8887 0.8887
Sb1 0.5000 0.5000 0.5000
Br1 0.2759 0.2759 0.2759
Br2 0.7241 0.7241 0.7241
```

[4]
Below is an optimized crystal structure of Nd3Sb2Br, with properties calculated at the PBE-GGA level.

Values from the calculation:
Crystal system: orthorhombic
Space group: Fddd (70)
Energy relative to the elements, uncorrected in eV/atom: -1.211
E_tot in eV per atom: -5.248

CIF file:
```
data_Nd3Sb2Br
_symmetry_space_group_name_H-M 'P 1'
_symmetry_Int_Tables_number 1
_cell_length_a 14.8788
_cell_length_b 14.1955
_cell_length_c 7.7788
_cell_angle_alpha 79.40
_cell_angle_beta 69.68
_cell_angle_gamma 30.92
loop_
_symmetry_equiv_pos_as_xyz
'x,y,z'
loop_
_atom_site_label
_atom_site_fract_x
_atom_site_fract_y
_atom_site_fract_z
Nd1 0.0474 0.5426 0.1883
Nd2 0.1081 0.6419 0.6419
Nd3 0.1883 0.7218 0.0474
Nd4 0.2782 0.8117 0.4574
Nd5 0.3581 0.8919 0.8919
Nd6 0.4574 0.9526 0.2782
Nd7 0.5426 0.0474 0.7218
Nd8 0.6419 0.1081 0.1081
Nd9 0.7218 0.1883 0.5426
Nd10 0.8117 0.2782 0.9526
Nd11 0.8919 0.3581 0.3581
Nd12 0.9526 0.4574 0.8117
Sb1 0.0397 0.0397 0.2103
Sb2 0.1274 0.1274 0.6226
Sb3 0.2103 0.2103 0.0397
Sb4 0.3774 0.3774 0.8726
Sb5 0.6226 0.6226 0.1274
Sb6 0.7897 0.7897 0.9603
Sb7 0.8726 0.8726 0.3774
Sb8 0.9603 0.9603 0.7897
Br1 0.2925 0.2925 0.4575
Br2 0.4575 0.4575 0.2925
Br3 0.5425 0.5425 0.7075
Br4 0.7075 0.7075 0.5425
```

[5]
Below is an optimized crystal structure of Nd7SbBr12, with properties calculated at the PBE-GGA level.

Values from the calculation:
Crystal system: trigonal
Space group: R-3 (148)
Energy relative to the elements, uncorrected in eV/atom: -1.630
E_tot in eV per atom: -4.509

CIF file:
```
data_Nd7SbBr12
_symmetry_space_group_name_H-M 'P 1'
_symmetry_Int_Tables_number 1
_cell_length_a 9.5980
_cell_length_b 9.5980
_cell_length_c 9.5980
_cell_angle_alpha 108.24
_cell_angle_beta 108.24
_cell_angle_gamma 108.24
loop_
_symmetry_equiv_pos_as_xyz
'x,y,z'
loop_
_atom_site_label
_atom_site_fract_x
_atom_site_fract_y
_atom_site_fract_z
Nd1 0.0000 0.0000 0.0000
Nd2 0.1623 0.3838 0.4612
Nd3 0.3838 0.4612 0.1623
Nd4 0.4612 0.1623 0.3838
Nd5 0.5388 0.8377 0.6162
Nd6 0.6162 0.5388 0.8377
Nd7 0.8377 0.6162 0.5388
Sb1 0.5000 0.5000 0.5000
Br1 0.0270 0.3373 0.1084
Br2 0.1084 0.0270 0.3373
Br3 0.1915 0.7266 0.5780
Br4 0.2734 0.4220 0.8085
Br5 0.3373 0.1084 0.0270
Br6 0.4220 0.8085 0.2734
Br7 0.5780 0.1915 0.7266
Br8 0.6627 0.8916 0.9730
Br9 0.7266 0.5780 0.1915
Br10 0.8085 0.2734 0.4220
Br11 0.8916 0.9730 0.6627
Br12 0.9730 0.6627 0.8916
```

[6]
Below is an optimized crystal structure of Nd4Sb3Br, with properties calculated at the PBE-GGA level.

Values from the calculation:
Crystal system: tetragonal
Space group: I4/mmm (139)
Energy relative to the elements, uncorrected in eV/atom: -1.214
E_tot in eV per atom: -5.353

CIF file:
```
data_Nd4Sb3Br
_symmetry_space_group_name_H-M 'P 1'
_symmetry_Int_Tables_number 1
_cell_length_a 7.7781
_cell_length_b 7.7781
_cell_length_c 7.7781
_cell_angle_alpha 132.01
_cell_angle_beta 132.01
_cell_angle_gamma 70.22
loop_
_symmetry_equiv_pos_as_xyz
'x,y,z'
loop_
_atom_site_label
_atom_site_fract_x
_atom_site_fract_y
_atom_site_fract_z
Nd1 0.0000 0.5000 0.5000
Nd2 0.2419 0.2419 0.0000
Nd3 0.5000 0.0000 0.5000
Nd4 0.7581 0.7581 0.0000
Sb1 0.0000 0.0000 0.0000
Sb2 0.2500 0.7500 0.5000
Sb3 0.7500 0.2500 0.5000
Br1 0.5000 0.5000 0.0000
```

[7]
Below is an optimized crystal structure of Nd2SbBr, with properties calculated at the PBE-GGA level.

Values from the calculation:
Crystal system: trigonal
Space group: R-3m (166)
Energy relative to the lowest polymorph listed for this composition in meV/atom: 136
Energy relative to the elements, uncorrected in eV/atom: -1.011
E_tot in eV per atom: -4.843

CIF file:
```
data_Nd2SbBr
_symmetry_space_group_name_H-M 'P 1'
_symmetry_Int_Tables_number 1
_cell_length_a 9.2356
_cell_length_b 9.2356
_cell_length_c 9.2356
_cell_angle_alpha 29.41
_cell_angle_beta 29.41
_cell_angle_gamma 29.41
loop_
_symmetry_equiv_pos_as_xyz
'x,y,z'
loop_
_atom_site_label
_atom_site_fract_x
_atom_site_fract_y
_atom_site_fract_z
Nd1 0.1101 0.1101 0.1101
Nd2 0.8899 0.8899 0.8899
Sb1 0.5000 0.5000 0.5000
Br1 0.0000 0.0000 0.0000
```

[8]
Below is an optimized crystal structure of Nd5Sb2Br2, with properties calculated at the PBE-GGA level.

Values from the calculation:
Crystal system: monoclinic
Space group: C2/m (12)
Energy relative to the elements, uncorrected in eV/atom: -0.883
E_tot in eV per atom: -4.820

CIF file:
```
data_Nd5Sb2Br2
_symmetry_space_group_name_H-M 'P 1'
_symmetry_Int_Tables_number 1
_cell_length_a 9.0992
_cell_length_b 9.0992
_cell_length_c 6.0336
_cell_angle_alpha 104.43
_cell_angle_beta 104.43
_cell_angle_gamma 36.96
loop_
_symmetry_equiv_pos_as_xyz
'x,y,z'
loop_
_atom_site_label
_atom_site_fract_x
_atom_site_fract_y
_atom_site_fract_z
Nd1 0.0000 0.0000 0.0000
Nd2 0.1914 0.1914 0.9565
Nd3 0.3259 0.3259 0.5533
Nd4 0.6741 0.6741 0.4467
Nd5 0.8086 0.8086 0.0435
Sb1 0.3972 0.3972 0.1021
Sb2 0.6028 0.6028 0.8979
Br1 0.1405 0.1405 0.4216
Br2 0.8595 0.8595 0.5784
```